# 1
This record from the Alexandria database describes CsTi3Hg at its PBEsol-relaxed geometry. The functional is SCAN. Values from VASP.

The calculation puts the formation enthalpy at 0 K at 1.95 eV per atom. As for the space-group type: Pm-3m (221).

Quantum ESPRESSO input file:
```
&SYSTEM
  ibrav = 0, nat = 5, ntyp = 3
/
ATOMIC_SPECIES
Cs 132.91 Cs.upf
Ti 47.87 Ti.upf
Hg 200.59 Hg.upf
CELL_PARAMETERS angstrom
4.887 0.000 0.000
0.000 4.887 0.000
0.000 0.000 4.887
ATOMIC_POSITIONS angstrom
Cs 0.000 0.000 0.000
Ti 0.000 0.000 2.443
Ti 0.000 2.443 0.000
Ti 2.443 0.000 0.000
Hg 2.443 2.443 2.443
```

***

# 2
This record from the Alexandria database describes NiSbBr at its PBEsol-relaxed geometry. The functional is SCAN. Values from VASP.

As for the uncorrected formation energy: 0.43 eV per atom. The energy relative to the lowest polymorph listed for this composition is 0 meV per atom. As for the space-group type: F-43m (216).

Quantum ESPRESSO input file:
```
&SYSTEM
  ibrav = 0, nat = 3, ntyp = 3
/
ATOMIC_SPECIES
Ni 58.69 Ni.upf
Sb 121.76 Sb.upf
Br 79.90 Br.upf
CELL_PARAMETERS angstrom
0.000 3.168 3.168
3.168 0.000 3.168
3.168 3.168 0.000
ATOMIC_POSITIONS angstrom
Ni 0.000 0.000 0.000
Sb 4.752 4.752 4.752
Br 1.584 1.584 1.584
```

***

# 3
This record from the Alexandria database describes NaC2I at its PBEsol-relaxed geometry. The functional is SCAN. Values from VASP.

As for the uncorrected formation energy: 2.57 eV per atom. As for the space-group type: Fm-3m (225).

Quantum ESPRESSO input file:
```
&SYSTEM
  ibrav = 0, nat = 4, ntyp = 3
/
ATOMIC_SPECIES
Na 22.99 Na.upf
C 12.01 C.upf
I 126.90 I.upf
CELL_PARAMETERS angstrom
0.000 3.056 3.056
3.056 0.000 3.056
3.056 3.056 0.000
ATOMIC_POSITIONS angstrom
Na 0.000 0.000 0.000
C 1.528 1.528 1.528
C 4.584 4.584 4.584
I 3.056 3.056 3.056
```

***

# 4
This record from the Alexandria database describes Tb3InS6 at its PBEsol-relaxed geometry. The functional is SCAN. Values from VASP.

As for the uncorrected formation energy: -1.95 eV per atom. As for the space-group type: Pnnm (58).

Quantum ESPRESSO input file:
```
&SYSTEM
  ibrav = 0, nat = 40, ntyp = 3
/
ATOMIC_SPECIES
Tb 158.93 Tb.upf
In 114.82 In.upf
S 32.06 S.upf
CELL_PARAMETERS angstrom
13.317 0.000 0.000
0.000 16.339 0.000
0.000 0.000 3.812
ATOMIC_POSITIONS angstrom
Tb 0.536 3.666 0.000
Tb 2.514 10.557 0.000
Tb 3.322 14.599 1.906
Tb 3.336 6.430 0.000
Tb 4.144 2.387 1.906
Tb 6.122 11.836 1.906
Tb 7.195 4.503 1.906
Tb 9.172 13.952 1.906
Tb 9.980 9.909 0.000
Tb 9.995 1.740 1.906
Tb 10.803 5.782 0.000
Tb 12.780 12.673 0.000
In 0.000 0.000 1.906
In 0.000 8.170 1.906
In 6.658 0.000 0.000
In 6.658 8.170 0.000
S 0.295 6.449 0.000
S 1.278 14.905 0.000
S 1.495 1.926 1.906
S 1.497 12.209 1.906
S 2.419 4.674 1.906
S 2.581 8.502 1.906
S 4.077 0.332 0.000
S 4.240 12.844 0.000
S 5.161 4.040 0.000
S 5.164 10.095 0.000
S 5.381 6.735 1.906
S 6.363 14.619 1.906
S 6.953 1.720 1.906
S 7.936 9.604 1.906
S 8.153 6.244 0.000
S 8.156 12.299 0.000
S 9.077 3.495 0.000
S 9.240 16.007 0.000
S 10.735 7.837 1.906
S 10.898 11.665 1.906
S 11.819 4.130 1.906
S 11.822 14.413 1.906
S 12.039 1.435 0.000
S 13.022 9.890 0.000
```

***

The records above give, respectively, spin magnetization values of 2.971; 0.001; 0.004; 0.000 Bohr magnetons per cell.
The records above give, respectively, total DFT energy (no corrections) values of -28.86; -23.86; -12.72; -25.09 eV/atom.